CdRhN2O | PBE | optimized geometry

a = 4.188 Å, b = 4.188 Å, c = 4.154 Å
α = 90.00°, β = 90.00°, γ = 90.00°
Last column: magnetic moment on the atom in μB.
Sites, in units of the cell vectors:
N1 0.000 0.500 0.000  0.87
N2 0.500 0.000 0.000  0.87
Rh1 0.500 0.500 0.500  2.02
O1 0.000 0.000 0.500  0.46
Cd1 0.000 0.000 0.000  0.05

## Properties
Its total DFT energy (no corrections) is -19.327 eV for the cell shown. Its total magnetization is 1.02 μB/atom. As for the space-group type: P4/mmm. Its density of states at the Fermi level is 1.0763 states/eV/atom.